The following is a GGA-PBE calculation of an optimized crystal structure of CePrAg2, from Alexandria.

It has space group Fm-3m (No. 225), with a = 7.515 Å, b = 7.515 Å, c = 7.515 Å, α = 90.00°, β = 90.00° and γ = 90.00°. The inequivalent atoms are Ce at (0.000, 0.000, 0.000), Pr at (0.000, 0.000, 0.500) and Ag at (0.250, 0.250, 0.250).

The calculation puts the energy relative to the lowest polymorph listed for this composition at 6 meV/atom. As for the calculated formation energy: -133 meV per atom. The calculation puts the magnetic moment at 0.315 μB/atom.